Entry 1:
DFT (GGA-PBE) results for a relaxed Sm2P3Pd3 crystal.

Computed properties:
Formation enthalpy at 0 K = -0.973 eV per atom
M_tot = 0.0 μB per formula unit

Unit cell a=8.1989 b=6.8851 c=6.8850 alpha=60.00 beta=90.00 gamma=90.00
Fractional coordinates of all 16 atoms:
Pd (0.7500, 0.2683, 0.7317)
Pd (0.2500, 0.2683, 0.0000)
Pd (0.7500, 0.0000, 0.2683)
Sm (0.0000, 0.3333, 0.3333)
Pd (0.2500, 0.0000, 0.7317)
P (0.7500, 0.0000, 0.6162)
P (0.7500, 0.3838, 0.0000)
Pd (0.7500, 0.7317, 0.0000)
P (0.2500, 0.6162, 0.0000)
P (0.7500, 0.6162, 0.3838)
P (0.2500, 0.0000, 0.3838)
Sm (0.5000, 0.3333, 0.3333)
Sm (0.5000, 0.6667, 0.6667)
Sm (0.0000, 0.6667, 0.6667)
P (0.2500, 0.3838, 0.6162)
Pd (0.2500, 0.7317, 0.2683)

Entry 2:
DFT (GGA-PBE) results for a relaxed SmPPd4 crystal.

Computed properties:
Formation enthalpy at 0 K = -0.679 eV per atom
M_tot = 0.0 μB per formula unit

Unit cell a=4.0055 b=6.9329 c=7.5078 alpha=90.00 beta=90.00 gamma=90.00
Fractional coordinates of all 12 atoms:
Pd (0.0000, 0.0000, 0.5000)
Pd (0.5000, 0.3010, 0.5620)
Pd (0.5000, 0.3010, 0.9380)
Sm (0.0000, 0.3755, 0.2500)
Pd (0.5000, 0.6990, 0.0620)
P (0.0000, 0.2129, 0.7500)
Pd (0.5000, 0.0669, 0.2500)
Pd (0.5000, 0.9331, 0.7500)
P (0.0000, 0.7871, 0.2500)
Sm (0.0000, 0.6245, 0.7500)
Pd (0.5000, 0.6990, 0.4380)
Pd (0.0000, 0.0000, 0.0000)

Entry 3:
DFT (GGA-PBE) results for a relaxed Sm2P6Pd21 crystal.

Computed properties:
Formation enthalpy at 0 K = -0.634 eV per atom
M_tot = 0.0 μB per formula unit

Unit cell a=8.6470 b=8.6470 c=8.6470 alpha=60.00 beta=60.00 gamma=60.00
Fractional coordinates of all 29 atoms:
Pd (0.0000, 0.6552, 0.0000)
Pd (0.6552, 0.0000, 0.3448)
Pd (0.1576, 0.6141, 0.6141)
Pd (0.8424, 0.3859, 0.3859)
Pd (0.3448, 0.6552, 0.0000)
Pd (0.6141, 0.6141, 0.1576)
Sm (0.2500, 0.2500, 0.2500)
P (0.7398, 0.2602, 0.2602)
P (0.7398, 0.7398, 0.2602)
Pd (0.6552, 0.3448, 0.0000)
Pd (0.0000, 0.0000, 0.0000)
P (0.7398, 0.2602, 0.7398)
Pd (0.3859, 0.8424, 0.3859)
Pd (0.3859, 0.3859, 0.3859)
Pd (0.3448, 0.0000, 0.0000)
Pd (0.0000, 0.0000, 0.3448)
Pd (0.0000, 0.0000, 0.6552)
Pd (0.3448, 0.0000, 0.6552)
P (0.2602, 0.7398, 0.2602)
Pd (0.0000, 0.3448, 0.6552)
Sm (0.7500, 0.7500, 0.7500)
Pd (0.6141, 0.6141, 0.6141)
P (0.2602, 0.2602, 0.7398)
Pd (0.0000, 0.6552, 0.3448)
Pd (0.0000, 0.3448, 0.0000)
Pd (0.3859, 0.3859, 0.8424)
P (0.2602, 0.7398, 0.7398)
Pd (0.6552, 0.0000, 0.0000)
Pd (0.6141, 0.1576, 0.6141)

Entry 4:
DFT (GGA-PBE) results for a relaxed Sm2P3Pd6 crystal.

Computed properties:
Formation enthalpy at 0 K = -0.896 eV per atom
M_tot = 0.0 μB per formula unit

Unit cell a=4.1667 b=7.3427 c=7.3427 alpha=120.00 beta=90.00 gamma=90.00
Fractional coordinates of all 11 atoms:
P (0.5000, 0.0000, 0.6340)
Sm (0.0000, 0.3333, 0.6667)
P (0.5000, 0.6340, 0.0000)
Pd (0.5000, 0.6886, 0.6886)
Pd (0.0000, 0.0000, 0.7865)
P (0.5000, 0.3660, 0.3660)
Pd (0.0000, 0.7865, 0.0000)
Sm (0.0000, 0.6667, 0.3333)
Pd (0.0000, 0.2135, 0.2135)
Pd (0.5000, 0.3114, 0.0000)
Pd (0.5000, 0.0000, 0.3114)

Entry 5:
DFT (GGA-PBE) results for a relaxed SmP3Pd3 crystal.

Computed properties:
Formation enthalpy at 0 K = -0.446 eV per atom
M_tot = 0.0 μB per formula unit

Unit cell a=6.5408 b=6.5408 c=6.5408 alpha=90.00 beta=90.00 gamma=90.00
Fractional coordinates of all 14 atoms:
P (0.7500, 0.0000, 0.5000)
P (0.5000, 0.7500, 0.0000)
P (0.0000, 0.5000, 0.2500)
Pd (0.5000, 0.0000, 0.7500)
P (0.2500, 0.0000, 0.5000)
Sm (0.5000, 0.5000, 0.5000)
Pd (0.2500, 0.5000, 0.0000)
Pd (0.7500, 0.5000, 0.0000)
Sm (0.0000, 0.0000, 0.0000)
P (0.0000, 0.5000, 0.7500)
Pd (0.5000, 0.0000, 0.2500)
P (0.5000, 0.2500, 0.0000)
Pd (0.0000, 0.7500, 0.5000)
Pd (0.0000, 0.2500, 0.5000)

Entry 6:
DFT (GGA-PBE) results for a relaxed SmP2Pd crystal.

Computed properties:
Formation enthalpy at 0 K = -0.871 eV per atom
M_tot = 0.0 μB per formula unit

Unit cell a=4.2813 b=7.0263 c=9.7303 alpha=90.00 beta=90.00 gamma=90.00
Fractional coordinates of all 16 atoms:
P (0.2500, 0.1503, 0.1726)
Sm (0.7500, 0.8547, 0.1315)
P (0.2500, 0.7234, 0.9208)
P (0.7500, 0.8497, 0.8274)
Sm (0.2500, 0.1453, 0.8685)
P (0.2500, 0.6503, 0.3274)
P (0.7500, 0.7766, 0.4208)
Sm (0.7500, 0.3547, 0.3685)
Pd (0.7500, 0.0081, 0.6104)
Pd (0.2500, 0.4919, 0.1104)
Pd (0.7500, 0.5081, 0.8896)
Sm (0.2500, 0.6453, 0.6315)
P (0.7500, 0.2766, 0.0792)
Pd (0.2500, 0.9919, 0.3896)
P (0.2500, 0.2234, 0.5792)
P (0.7500, 0.3497, 0.6726)

Entry 7:
DFT (GGA-PBE) results for a relaxed SmP2Pd3 crystal.

Computed properties:
Formation enthalpy at 0 K = -0.889 eV per atom
M_tot = 0.0 μB per formula unit

Unit cell a=3.9830 b=8.3673 c=9.8958 alpha=107.45 beta=90.00 gamma=103.77
Fractional coordinates of all 18 atoms:
Sm (0.0000, 0.0000, 0.0000)
Sm (0.8498, 0.6995, 0.3004)
Sm (0.1502, 0.3005, 0.6996)
Pd (0.3214, 0.6427, 0.0356)
Pd (0.6305, 0.2609, 0.2077)
P (0.3662, 0.7325, 0.5489)
P (0.2017, 0.4033, 0.1333)
Pd (0.6786, 0.3573, 0.9644)
Pd (0.9551, 0.9103, 0.6682)
P (0.4634, 0.9268, 0.2092)
P (0.6338, 0.2675, 0.4511)
Pd (0.5000, 0.0000, 0.5000)
Pd (0.3695, 0.7391, 0.7923)
Pd (0.2282, 0.4564, 0.3915)
Pd (0.7718, 0.5436, 0.6085)
Pd (0.0449, 0.0897, 0.3318)
P (0.7983, 0.5967, 0.8667)
P (0.5366, 0.0732, 0.7908)

Entry 8:
DFT (GGA-PBE) results for a relaxed SmP4Pd6 crystal.

Computed properties:
Formation enthalpy at 0 K = -0.617 eV per atom
M_tot = 0.0 μB per formula unit

Unit cell a=3.9240 b=7.1643 c=7.1643 alpha=120.00 beta=90.00 gamma=90.00
Fractional coordinates of all 11 atoms:
P (0.5000, 0.8131, 0.1869)
Pd (0.0000, 0.9310, 0.4655)
Pd (0.5000, 0.1964, 0.3928)
Pd (0.0000, 0.5345, 0.0690)
P (0.5000, 0.3738, 0.1869)
P (0.0000, 0.3333, 0.6667)
Pd (0.5000, 0.6072, 0.8036)
Pd (0.5000, 0.1964, 0.8036)
Sm (0.0000, 0.0000, 0.0000)
Pd (0.0000, 0.5345, 0.4655)
P (0.5000, 0.8131, 0.6262)

Entry 9:
DFT (GGA-PBE) results for a relaxed SmPPd3 crystal.

Computed properties:
Formation enthalpy at 0 K = -0.712 eV per atom
M_tot = 0.0 μB per formula unit

Unit cell a=4.6010 b=4.6010 c=4.6010 alpha=90.00 beta=90.00 gamma=90.00
Fractional coordinates of all 5 atoms:
Pd (0.5000, 0.0000, 0.0000)
Sm (0.5000, 0.5000, 0.5000)
Pd (0.0000, 0.0000, 0.5000)
Pd (0.0000, 0.5000, 0.0000)
P (0.0000, 0.0000, 0.0000)

Entry 10:
DFT (GGA-PBE) results for a relaxed Sm2P4Pd5 crystal.

Computed properties:
Formation enthalpy at 0 K = -0.710 eV per atom
M_tot = 0.0 μB per formula unit

Unit cell a=5.6710 b=5.7479 c=7.5235 alpha=79.29 beta=67.86 gamma=60.44
Fractional coordinates of all 11 atoms:
Pd (0.5000, 0.5000, 0.0000)
Sm (0.8543, 0.0000, 0.2914)
Pd (0.2500, 0.5000, 0.5000)
Pd (0.7500, 0.5000, 0.5000)
Pd (0.5000, 0.0000, 0.0000)
P (0.2205, 0.2968, 0.2621)
P (0.4827, 0.2968, 0.7379)
Sm (0.1457, 0.0000, 0.7086)
P (0.5173, 0.7032, 0.2621)
P (0.7795, 0.7032, 0.7379)
Pd (0.0000, 0.5000, 0.0000)

Entry 11:
DFT (GGA-PBE) results for a relaxed Sm2P7Pd12 crystal.

Computed properties:
Formation enthalpy at 0 K = -0.704 eV per atom
M_tot = 0.0 μB per formula unit

Unit cell a=4.0474 b=9.7719 c=9.7718 alpha=120.00 beta=90.00 gamma=90.00
Fractional coordinates of all 21 atoms:
P (0.7518, 0.1178, 0.7056)
Pd (0.7615, 0.2494, 0.1455)
P (0.2482, 0.4123, 0.1178)
Pd (0.2385, 0.1039, 0.2494)
Pd (0.2385, 0.7506, 0.8545)
P (0.2482, 0.8822, 0.2944)
P (0.2482, 0.7056, 0.5877)
Sm (0.2506, 0.3333, 0.6667)
Pd (0.2519, 0.9390, 0.5614)
Pd (0.7481, 0.0610, 0.4386)
Pd (0.2519, 0.6224, 0.0610)
Pd (0.2385, 0.1455, 0.8961)
Pd (0.7481, 0.5614, 0.6224)
Pd (0.7615, 0.8545, 0.1039)
P (0.7518, 0.2944, 0.4123)
Sm (0.7494, 0.6667, 0.3333)
Pd (0.7481, 0.3776, 0.9390)
P (0.5000, 0.0000, 0.0000)
P (0.7518, 0.5877, 0.8822)
Pd (0.2519, 0.4386, 0.3776)
Pd (0.7615, 0.8961, 0.7506)

Entry 12:
DFT (GGA-PBE) results for a relaxed Sm2PPd3 crystal.

Computed properties:
Formation enthalpy at 0 K = -0.949 eV per atom
M_tot = 0.0 μB per formula unit

Unit cell a=5.7473 b=5.7473 c=8.7495 alpha=111.82 beta=111.82 gamma=82.43
Fractional coordinates of all 12 atoms:
Sm (0.7550, 0.2450, 0.0000)
P (0.3345, 0.3345, 0.6689)
Pd (0.8242, 0.8242, 0.1750)
Pd (0.3509, 0.3509, 0.1750)
Pd (0.6491, 0.6491, 0.8250)
Sm (0.2450, 0.7550, 0.0000)
Pd (0.1758, 0.1758, 0.8250)
Sm (0.7500, 0.2500, 0.5000)
Pd (0.1782, 0.1782, 0.3564)
P (0.6655, 0.6655, 0.3311)
Sm (0.2500, 0.7500, 0.5000)
Pd (0.8218, 0.8218, 0.6436)

Entry 13:
DFT (GGA-PBE) results for a relaxed SmPPd6 crystal.

Computed properties:
Formation enthalpy at 0 K = -0.461 eV per atom
M_tot = 0.0 μB per formula unit

Unit cell a=5.6647 b=5.6647 c=6.4413 alpha=63.91 beta=63.91 gamma=60.00
Fractional coordinates of all 8 atoms:
P (0.0000, 0.0000, 0.0000)
Pd (0.0880, 0.0880, 0.2585)
Pd (0.5656, 0.0880, 0.2585)
Sm (0.5000, 0.5000, 0.5000)
Pd (0.9120, 0.4344, 0.7415)
Pd (0.4344, 0.9120, 0.7415)
Pd (0.9120, 0.9120, 0.7415)
Pd (0.0880, 0.5656, 0.2585)

Entry 14:
DFT (GGA-PBE) results for a relaxed Sm3P2Pd5 crystal.

Computed properties:
Formation enthalpy at 0 K = -0.805 eV per atom
M_tot = 0.0 μB per formula unit

Unit cell a=5.9961 b=8.7591 c=8.7591 alpha=81.18 beta=69.98 gamma=69.98
Fractional coordinates of all 20 atoms:
Pd (0.4983, 0.7517, 0.7517)
Sm (0.6232, 0.5808, 0.1727)
Sm (0.3768, 0.4192, 0.8273)
Pd (0.2500, 0.5000, 0.5000)
Pd (0.0017, 0.2483, 0.2483)
P (0.6430, 0.9985, 0.7154)
Pd (0.5017, 0.2483, 0.2483)
Pd (0.1284, 0.5288, 0.2144)
Sm (0.2500, 0.0000, 0.0000)
Pd (0.8716, 0.4712, 0.7856)
P (0.3570, 0.0015, 0.2846)
Pd (0.6284, 0.2144, 0.5288)
P (0.8570, 0.2846, 0.0015)
Sm (0.8768, 0.8273, 0.4192)
Pd (0.9983, 0.7517, 0.7517)
Pd (0.3716, 0.7856, 0.4712)
Sm (0.1232, 0.1727, 0.5808)
P (0.1430, 0.7154, 0.9985)
Sm (0.7500, 0.0000, 0.0000)
Pd (0.7500, 0.5000, 0.5000)

Entry 15:
DFT (GGA-PBE) results for a relaxed Sm3P4Pd7 crystal.

Computed properties:
Formation enthalpy at 0 K = -0.979 eV per atom
M_tot = 0.0 μB per formula unit

Unit cell a=4.0469 b=8.0472 c=8.2743 alpha=71.10 beta=75.85 gamma=75.44
Fractional coordinates of all 14 atoms:
Pd (0.3058, 0.8591, 0.5293)
Pd (0.0000, 0.0000, 0.0000)
Pd (0.6942, 0.1409, 0.4707)
P (0.6599, 0.4376, 0.2426)
P (0.8942, 0.8915, 0.3201)
Pd (0.4906, 0.2364, 0.7825)
Sm (0.0000, 0.5000, 0.5000)
Pd (0.1667, 0.5856, 0.0811)
P (0.3401, 0.5624, 0.7574)
Sm (0.3196, 0.1830, 0.1778)
P (0.1058, 0.1085, 0.6799)
Pd (0.5094, 0.7636, 0.2175)
Pd (0.8333, 0.4144, 0.9189)
Sm (0.6804, 0.8170, 0.8222)

Entry 16:
DFT (GGA-PBE) results for a relaxed Sm2P2Pd5 crystal.

Computed properties:
Formation enthalpy at 0 K = -0.920 eV per atom
M_tot = 0.0 μB per formula unit

Unit cell a=4.1875 b=4.1875 c=9.0274 alpha=90.00 beta=90.00 gamma=90.00
Fractional coordinates of all 9 atoms:
Pd (0.5000, 0.0000, 0.2626)
Pd (0.0000, 0.5000, 0.7374)
Pd (0.0000, 0.5000, 0.2626)
Pd (0.5000, 0.5000, 0.5000)
Pd (0.5000, 0.0000, 0.7374)
P (0.5000, 0.5000, 0.1278)
Sm (0.0000, 0.0000, 0.0000)
P (0.5000, 0.5000, 0.8722)
Sm (0.0000, 0.0000, 0.5000)

Entry 17:
DFT (GGA-PBE) results for a relaxed SrSmP2Pd5 crystal.

Computed properties:
Formation enthalpy at 0 K = -0.788 eV per atom
M_tot = 0.0 μB per formula unit

Unit cell a=4.2490 b=4.2490 c=8.9492 alpha=90.00 beta=90.00 gamma=90.00
Fractional coordinates of all 9 atoms:
Sr (0.0000, 0.0000, 0.5000)
Sm (0.0000, 0.0000, 0.0000)
Pd (0.5000, 0.5000, 0.5000)
P (0.5000, 0.5000, 0.8740)
Pd (0.5000, 0.0000, 0.2533)
Pd (0.5000, 0.0000, 0.7467)
P (0.5000, 0.5000, 0.1260)
Pd (0.0000, 0.5000, 0.7467)
Pd (0.0000, 0.5000, 0.2533)

Entry 18:
DFT (GGA-PBE) results for a relaxed SrSmP2Pd4 crystal.

Computed properties:
Formation enthalpy at 0 K = -0.735 eV per atom
M_tot = 0.0 μB per formula unit

Unit cell a=4.1214 b=4.1214 c=9.9072 alpha=90.00 beta=90.00 gamma=90.00
Fractional coordinates of all 8 atoms:
Pd (0.5000, 0.0000, 0.7832)
Sm (0.0000, 0.0000, 0.0000)
Pd (0.0000, 0.5000, 0.2168)
Sr (0.0000, 0.0000, 0.5000)
Pd (0.5000, 0.0000, 0.2168)
P (0.5000, 0.5000, 0.6652)
P (0.5000, 0.5000, 0.3348)
Pd (0.0000, 0.5000, 0.7832)

Entry 19:
DFT (GGA-PBE) results for a relaxed Sm8Te4P3Pd crystal.

Computed properties:
Energy relative to the elements, uncorrected = -22.7 eV per formula unit
M_tot = 0.0 μB per formula unit

Unit cell a=8.4868 b=8.6793 c=8.4870 alpha=119.27 beta=120.00 gamma=90.00
Fractional coordinates of all 16 atoms:
Te (0.0000, 0.0000, 0.0000)
Sm (0.7371, 0.7113, 0.4742)
Te (0.5000, 0.0000, 0.5000)
Sm (0.7581, 0.2828, 0.0247)
Te (0.5000, 0.0000, 0.0000)
P (0.5000, 0.5000, 0.0000)
Sm (0.7334, 0.7172, 0.9753)
Sm (0.2420, 0.7173, 0.4840)
Sm (0.7580, 0.2827, 0.5160)
P (0.0000, 0.5000, 0.5000)
Pd (0.0000, 0.5000, 0.0000)
Sm (0.2666, 0.2828, 0.0247)
Sm (0.2629, 0.2887, 0.5258)
P (0.5000, 0.5000, 0.5000)
Te (0.0000, 0.0000, 0.5000)
Sm (0.2419, 0.7172, 0.9753)